## RbNaGa (PBE)

Data for a geometry-optimized RbNaGa structure.

Cell: 13.014 13.014 4.580 Å, 90.00 90.00 159.94°
Atoms (fractional coordinates):
Rb1 0.173 0.827 0.750
Rb2 0.827 0.173 0.250
Na1 0.052 0.948 0.250
Na2 0.948 0.052 0.750
Ga1 0.474 0.526 0.250
Ga2 0.526 0.474 0.750

Calculated values
- E_form: 38 meV per atom

## BaNaLiIn (PBE)

Data for a geometry-optimized BaNaLiIn structure.

Cell: 5.563 5.563 5.563 Å, 60.00 60.00 60.00°
Atoms (fractional coordinates):
Ba1 0.000 0.000 0.000
Na1 0.750 0.750 0.750
Li1 0.250 0.250 0.250
In1 0.500 0.500 0.500

Calculated values
- E_form: -134 meV per atom

## PmPr4Ho3Se8 (PBE)

Data for a geometry-optimized PmPr4Ho3Se8 structure.

Cell: 8.456 8.456 8.456 Å, 58.55 58.55 58.55°
Atoms (fractional coordinates):
Pm1 0.000 0.000 0.000
Pr1 0.000 0.000 0.500
Pr2 0.000 0.500 0.000
Pr3 0.500 0.000 0.000
Pr4 0.500 0.500 0.500
Ho1 0.000 0.500 0.500
Ho2 0.500 0.000 0.500
Ho3 0.500 0.500 0.000
Se1 0.248 0.248 0.738
Se2 0.248 0.738 0.248
Se3 0.257 0.257 0.257
Se4 0.262 0.752 0.752
Se5 0.738 0.248 0.248
Se6 0.743 0.743 0.743
Se7 0.752 0.262 0.752
Se8 0.752 0.752 0.262

## CdRe2As (PBE)

Data for a geometry-optimized CdRe2As structure.

Cell: 5.461 5.461 5.461 Å, 148.00 129.34 61.19°
Atoms (fractional coordinates):
Cd1 0.000 0.000 0.000
Re1 0.287 0.787 0.500
Re2 0.713 0.213 0.500
As1 0.500 0.500 0.000

Calculated values
- E_form: 600 meV per atom

Total energy, record by record: -1.734; -2.108; -5.890; -7.015 eV/atom